Cs2TlO2 | PBE | relaxed

- M_tot: 0.93 μB/f.u.
- Energy above the lowest structure with this stoichiometry: 43 meV per atom

Cell and atoms, written as extended XYZ:
```
5
Lattice="-2.260 2.260 7.791 2.260 -2.260 7.791 2.260 2.260 -7.791" Properties=species:S:1:pos:R:3 pbc="T T T"
Cs 0.000 0.000 2.640
Cs 0.000 0.000 12.941
Tl 0.000 0.000 7.791
O 0.000 0.000 5.618
O 0.000 0.000 9.963
```

=====

Ho6Cd3Ir | PBE | relaxed

- DFT formation energy: -362 meV per atom
- M_tot: 0.00 μB/f.u.

Cell and atoms, written as extended XYZ:
```
20
Lattice="9.068 0.000 0.000 0.000 5.239 0.000 -3.666 0.000 10.819" Properties=species:S:1:pos:R:3 pbc="T T T"
Ho -1.220 1.310 4.495
Ho 1.093 3.929 1.784
Ho 2.518 1.310 0.025
Ho 0.125 3.929 9.001
Ho 2.125 1.310 3.772
Ho 1.164 1.310 7.011
Ho 4.238 3.929 3.807
Ho 3.277 3.929 7.047
Ho 5.277 1.310 1.818
Ho 2.884 3.929 10.794
Ho 4.309 1.310 9.035
Ho 6.622 3.929 6.324
Cd -3.106 3.929 9.408
Cd -1.868 1.310 7.784
Cd 0.719 3.929 5.130
Cd 4.683 1.310 5.689
Cd 7.270 3.929 3.035
Cd 8.508 1.310 1.410
Ir 3.812 3.929 1.028
Ir 1.590 1.310 9.791
```

=====

LiIrRh4 | PBE | relaxed

- DFT formation energy: 368 meV per atom
- M_tot: 1.71 μB/f.u.
- Energy above the lowest structure with this stoichiometry: 409 meV per atom

Cell and atoms, written as extended XYZ:
```
6
Lattice="0.000 3.584 3.584 3.584 0.000 3.584 3.584 3.584 0.000" Properties=species:S:1:pos:R:3 pbc="T T T"
Li 0.000 0.000 0.000
Ir 1.792 1.792 1.792
Rh 4.481 2.687 2.687
Rh 2.687 4.481 2.687
Rh 2.687 2.687 4.481
Rh 4.481 4.481 4.481
```

=====

AcPr6DyEr2 | PBE | relaxed

- DFT formation energy: 117 meV per atom
- M_tot: 0.00 μB/f.u.

Cell and atoms, written as extended XYZ:
```
20
Lattice="4.744 -7.746 0.000 4.744 7.746 0.000 -1.040 0.000 9.758" Properties=species:S:1:pos:R:3 pbc="T T T"
Ac 3.964 7.285 7.318
Ac 4.484 -7.285 2.439
Pr 1.933 4.242 6.668
Pr 4.092 4.944 0.524
Pr 4.876 4.944 4.355
Pr 2.904 1.705 8.608
Pr 5.996 4.242 7.969
Pr 5.025 1.705 6.028
Pr 3.423 -1.705 3.729
Pr 2.453 -4.242 1.789
Pr 5.545 -1.705 1.149
Pr 3.572 -4.944 5.403
Pr 4.356 -4.944 9.234
Pr 6.516 -4.242 3.090
Dy 4.484 1.357 2.439
Dy 3.964 -1.357 7.318
Er 1.877 0.811 5.352
Er 2.397 -0.811 0.473
Er 6.052 0.811 9.284
Er 6.571 -0.811 4.406
```

=====

SrRuO2F | PBE | relaxed

- M_tot: 5.00 μB/f.u.
- Electronic total energy: -4.8384 eV/atom

Cell and atoms, written as extended XYZ:
```
5
Lattice="4.621 0.000 0.000 0.000 4.621 0.000 0.000 0.000 4.459" Properties=species:S:1:pos:R:3 pbc="T T T"
Sr 0.000 0.000 0.000
Ru 2.310 2.310 2.229
O 0.000 2.310 0.000
O 2.310 0.000 0.000
F 0.000 0.000 2.229
```

=====

Sr2CuReBi | PBE | relaxed

- DFT formation energy: 937 meV per atom
- M_tot: 3.71 μB/f.u.

Cell and atoms, written as extended XYZ:
```
5
Lattice="5.824 0.000 0.000 0.000 5.824 0.000 0.000 0.000 4.903" Properties=species:S:1:pos:R:3 pbc="T T T"
Sr 0.000 2.912 0.000
Sr 2.912 0.000 0.000
Cu 0.000 0.000 0.000
Re 2.912 2.912 2.451
Bi 0.000 0.000 2.451
```

=====

Sm7Tl4Zn | PBE | relaxed

- DFT formation energy: -93 meV per atom
- M_tot: 0.00 μB/f.u.

Cell and atoms, written as extended XYZ:
```
12
Lattice="7.471 -2.829 0.000 7.471 2.829 0.000 -6.941 0.000 9.014" Properties=species:S:1:pos:R:3 pbc="T T T"
Sm 0.000 0.000 0.000
Sm -1.748 0.000 5.298
Sm 3.326 0.000 1.188
Sm 1.660 0.000 6.185
Sm 6.341 0.000 2.829
Sm 4.676 0.000 7.826
Sm 9.749 0.000 3.716
Tl -4.373 0.000 7.012
Tl 0.727 0.000 3.073
Tl 7.274 0.000 5.941
Tl 12.374 0.000 2.002
Zn 7.471 0.000 0.000
```

=====

NaLiGe | PBE | relaxed

- DFT formation energy: -204 meV per atom
- M_tot: 0.00 μB/f.u.
- Energy above the lowest structure with this stoichiometry: 19 meV per atom

Cell and atoms, written as extended XYZ:
```
6
Lattice="4.579 0.000 0.000 -2.289 3.965 0.000 0.000 0.000 7.276" Properties=species:S:1:pos:R:3 pbc="T T T"
Na 0.000 2.644 0.952
Na 2.289 1.322 6.324
Li 0.000 2.644 4.066
Li 2.289 1.322 3.210
Ge 0.000 0.000 2.428
Ge 0.000 0.000 4.848
```

=====

PuTeP | PBE | relaxed

- M_tot: 5.05 μB/f.u.
- Electronic total energy: -8.2749 eV/atom

Cell and atoms, written as extended XYZ:
```
3
Lattice="-1.935 1.935 5.170 1.935 -1.935 5.170 1.935 1.935 -5.170" Properties=species:S:1:pos:R:3 pbc="T T T"
Pu 0.000 0.000 0.000
Te 0.000 0.000 3.350
P 0.000 0.000 5.942
```

=====

ReS | PBE | relaxed

- M_tot: 0.00 μB/f.u.
- Energy above the lowest structure with this stoichiometry: 47 meV per atom

Cell and atoms, written as extended XYZ:
```
2
Lattice="1.513 0.874 3.905 -1.513 0.874 3.905 0.000 -1.747 3.905" Properties=species:S:1:pos:R:3 pbc="T T T"
Re 0.000 0.000 0.000
S 0.000 0.000 2.380
```

=====

LaRh2W | PBE | relaxed

- DFT formation energy: -167 meV per atom
- M_tot: 0.00 μB/f.u.
- Energy above the lowest structure with this stoichiometry: 28 meV per atom

Cell and atoms, written as extended XYZ:
```
4
Lattice="3.034 0.000 0.000 0.000 3.034 0.000 0.000 0.000 7.932" Properties=species:S:1:pos:R:3 pbc="T T T"
La 0.000 0.000 0.000
Rh 1.517 1.517 2.328
Rh 1.517 1.517 5.603
W 0.000 0.000 3.966
```

=====

DyAs3 | PBE | relaxed

- DFT formation energy: -632 meV per atom
- M_tot: 0.00 μB/f.u.

Cell and atoms, written as extended XYZ:
```
4
Lattice="3.958 0.000 0.000 0.000 5.726 0.000 0.000 0.000 4.212" Properties=species:S:1:pos:R:3 pbc="T T T"
Dy 0.000 0.000 0.000
As 0.000 2.863 3.863
As 1.979 0.000 2.034
As 1.979 2.863 1.308
```